Record 1
Entry from Alexandria via LeMat-Bulk: an optimized crystal structure of Np2ScIn9 (PBE).

Cell and atoms, written as CIF:
```
data_Np2ScIn9
_cell_length_a 4.6030
_cell_length_b 4.6030
_cell_length_c 13.8107
_cell_angle_alpha 90.00
_cell_angle_beta 90.00
_cell_angle_gamma 90.00
_space_group_name_H-M_alt 'P 1'
_space_group_IT_number 1
loop_
_space_group_symop_operation_xyz
'x,y,z'
loop_
_atom_site_label
_atom_site_type_symbol
_atom_site_fract_x
_atom_site_fract_y
_atom_site_fract_z
In1 In 0.0000 0.5000 0.8389
In2 In 0.0000 0.5000 0.5000
In3 In 0.5000 0.0000 0.1611
In4 In 0.5000 0.5000 0.3325
In5 In 0.5000 0.0000 0.5000
In6 In 0.5000 0.5000 0.0000
In7 In 0.5000 0.5000 0.6675
In8 In 0.5000 0.0000 0.8389
In9 In 0.0000 0.5000 0.1611
Np1 Np 0.0000 0.0000 0.3289
Np2 Np 0.0000 0.0000 0.6711
Sc1 Sc 0.0000 0.0000 0.0000
```

## Properties
DFT total energy: -4.85 eV/atom
Formation enthalpy at 0 K: -0.1073 eV per atom
Magnetic moment: 8.61 μB/cell

Record 2
Entry from Alexandria via LeMat-Bulk: an optimized crystal structure of NpScIn2 (PBE).

Cell and atoms, written as CIF:
```
data_NpScIn2
_cell_length_a 3.1344
_cell_length_b 3.1344
_cell_length_c 9.5112
_cell_angle_alpha 90.00
_cell_angle_beta 90.00
_cell_angle_gamma 90.00
_space_group_name_H-M_alt 'P 1'
_space_group_IT_number 1
loop_
_space_group_symop_operation_xyz
'x,y,z'
loop_
_atom_site_label
_atom_site_type_symbol
_atom_site_fract_x
_atom_site_fract_y
_atom_site_fract_z
In1 In 0.0000 0.0000 0.2354
In2 In 0.0000 0.0000 0.7646
Np1 Np 0.5000 0.5000 0.5000
Sc1 Sc 0.5000 0.5000 0.0000
```

## Properties
DFT total energy: -6.33 eV/atom
Formation enthalpy at 0 K: -0.1394 eV per atom
Magnetic moment: 4.88 μB/cell

Record 3
Entry from Alexandria via LeMat-Bulk: an optimized crystal structure of NpScIn2 (PBE).

Cell and atoms, written as CIF:
```
data_NpScIn2
_cell_length_a 4.4811
_cell_length_b 4.6913
_cell_length_c 4.6913
_cell_angle_alpha 90.00
_cell_angle_beta 90.00
_cell_angle_gamma 90.00
_space_group_name_H-M_alt 'P 1'
_space_group_IT_number 1
loop_
_space_group_symop_operation_xyz
'x,y,z'
loop_
_atom_site_label
_atom_site_type_symbol
_atom_site_fract_x
_atom_site_fract_y
_atom_site_fract_z
In1 In 0.0000 0.0000 0.5000
In2 In 0.0000 0.5000 0.0000
Sc1 Sc 0.5000 0.0000 0.0000
Np1 Np 0.5000 0.5000 0.5000
```

## Properties
DFT total energy: -6.20 eV/atom
Formation enthalpy at 0 K: -0.0096 eV per atom
Magnetic moment: 5.05 μB/cell

Record 4
Entry from Alexandria via LeMat-Bulk: an optimized crystal structure of NpSc2In3Te6 (PBE).

Cell and atoms, written as CIF:
```
data_NpSc2In3Te6
_cell_length_a 7.4674
_cell_length_b 7.4674
_cell_length_c 8.3908
_cell_angle_alpha 98.54
_cell_angle_beta 98.54
_cell_angle_gamma 119.93
_space_group_name_H-M_alt 'P 1'
_space_group_IT_number 1
loop_
_space_group_symop_operation_xyz
'x,y,z'
loop_
_atom_site_label
_atom_site_type_symbol
_atom_site_fract_x
_atom_site_fract_y
_atom_site_fract_z
Te1 Te 0.7207 0.7207 0.2100
Te2 Te 0.5798 0.9280 0.7852
Te3 Te 0.2793 0.2793 0.7900
Te4 Te 0.4202 0.0720 0.2148
Te5 Te 0.0720 0.4202 0.2148
Te6 Te 0.9280 0.5798 0.7852
In1 In 0.1611 0.8389 0.5000
In2 In 0.5000 0.5000 0.5000
In3 In 0.8389 0.1611 0.5000
Np1 Np 0.0000 0.0000 0.0000
Sc1 Sc 0.6677 0.3323 0.0000
Sc2 Sc 0.3323 0.6677 0.0000
```

## Properties
DFT total energy: -5.11 eV/atom
Formation energy from raw total energies: -716.1 meV per atom
Magnetic moment: 4.07 μB/cell

Record 5
Entry from Alexandria via LeMat-Bulk: an optimized crystal structure of NpIn3Se4 (PBE).

Cell and atoms, written as CIF:
```
data_NpIn3Se4
_cell_length_a 5.9626
_cell_length_b 5.9626
_cell_length_c 7.5305
_cell_angle_alpha 113.32
_cell_angle_beta 113.32
_cell_angle_gamma 90.00
_space_group_name_H-M_alt 'P 1'
_space_group_IT_number 1
loop_
_space_group_symop_operation_xyz
'x,y,z'
loop_
_atom_site_label
_atom_site_type_symbol
_atom_site_fract_x
_atom_site_fract_y
_atom_site_fract_z
Se1 Se 0.5000 0.0000 0.0000
Se2 Se 0.7677 0.7677 0.5353
Se3 Se 0.2323 0.2323 0.4647
Se4 Se 0.0000 0.5000 0.0000
In1 In 0.7500 0.2500 0.5000
In2 In 0.2500 0.7500 0.5000
In3 In 0.5000 0.5000 0.0000
Np1 Np 0.0000 0.0000 0.0000
```

## Properties
DFT total energy: -4.95 eV/atom
Formation energy from raw total energies: -560.5 meV per atom
Magnetic moment: 3.80 μB/cell

Record 6
Entry from Alexandria via LeMat-Bulk: an optimized crystal structure of Np2InSe6 (PBE).

Cell and atoms, written as CIF:
```
data_Np2InSe6
_cell_length_a 6.5430
_cell_length_b 6.5430
_cell_length_c 12.5753
_cell_angle_alpha 90.00
_cell_angle_beta 90.00
_cell_angle_gamma 90.00
_space_group_name_H-M_alt 'P 1'
_space_group_IT_number 1
loop_
_space_group_symop_operation_xyz
'x,y,z'
loop_
_atom_site_label
_atom_site_type_symbol
_atom_site_fract_x
_atom_site_fract_y
_atom_site_fract_z
Se1 Se 0.6993 0.6993 0.3341
Se2 Se 0.8075 0.1925 0.5000
Se3 Se 0.3007 0.3007 0.3341
Se4 Se 0.8007 0.1993 0.1659
Se5 Se 0.6993 0.6993 0.6659
Se6 Se 0.3075 0.3075 0.0000
Se7 Se 0.8007 0.1993 0.8341
Se8 Se 0.6925 0.6925 0.0000
Se9 Se 0.1925 0.8075 0.5000
Se10 Se 0.1993 0.8007 0.8341
Se11 Se 0.1993 0.8007 0.1659
Se12 Se 0.3007 0.3007 0.6659
Np1 Np 0.5000 0.5000 0.8326
Np2 Np 0.0000 0.0000 0.6674
Np3 Np 0.0000 0.0000 0.3326
Np4 Np 0.5000 0.5000 0.1674
In1 In 0.0000 0.0000 0.0000
In2 In 0.5000 0.5000 0.5000
```

## Properties
DFT total energy: -6.21 eV/atom
Formation energy from raw total energies: -711.7 meV per atom
Magnetic moment: 10.02 μB/cell

Record 7
Entry from Alexandria via LeMat-Bulk: an optimized crystal structure of Np6InSe12 (PBE).

Cell and atoms, written as CIF:
```
data_Np6InSe12
_cell_length_a 8.2346
_cell_length_b 8.2346
_cell_length_c 8.2346
_cell_angle_alpha 100.36
_cell_angle_beta 100.36
_cell_angle_gamma 100.36
_space_group_name_H-M_alt 'P 1'
_space_group_IT_number 1
loop_
_space_group_symop_operation_xyz
'x,y,z'
loop_
_atom_site_label
_atom_site_type_symbol
_atom_site_fract_x
_atom_site_fract_y
_atom_site_fract_z
Se1 Se 0.4273 0.8236 0.5750
Se2 Se 0.9521 0.3247 0.0593
Se3 Se 0.4250 0.5727 0.1764
Se4 Se 0.5727 0.1764 0.4250
Se5 Se 0.1764 0.4250 0.5727
Se6 Se 0.0479 0.6753 0.9407
Se7 Se 0.0593 0.9521 0.3247
Se8 Se 0.6753 0.9407 0.0479
Se9 Se 0.9407 0.0479 0.6753
Se10 Se 0.3247 0.0593 0.9521
Se11 Se 0.5750 0.4273 0.8236
Se12 Se 0.8236 0.5750 0.4273
Np1 Np 0.6234 0.3067 0.1339
Np2 Np 0.8661 0.3766 0.6933
Np3 Np 0.1339 0.6234 0.3067
Np4 Np 0.3766 0.6933 0.8661
Np5 Np 0.3067 0.1339 0.6234
Np6 Np 0.6933 0.8661 0.3766
In1 In 0.0000 0.0000 0.0000
```

## Properties
DFT total energy: -7.44 eV/atom
Formation energy from raw total energies: -1011.9 meV per atom
Magnetic moment: 21.00 μB/cell

Record 8
Entry from Alexandria via LeMat-Bulk: an optimized crystal structure of Np2InSe5 (PBE).

Cell and atoms, written as CIF:
```
data_Np2InSe5
_cell_length_a 5.5453
_cell_length_b 7.2545
_cell_length_c 14.0437
_cell_angle_alpha 90.00
_cell_angle_beta 90.00
_cell_angle_gamma 112.47
_space_group_name_H-M_alt 'P 1'
_space_group_IT_number 1
loop_
_space_group_symop_operation_xyz
'x,y,z'
loop_
_atom_site_label
_atom_site_type_symbol
_atom_site_fract_x
_atom_site_fract_y
_atom_site_fract_z
Se1 Se 0.0502 0.1004 0.3853
Se2 Se 0.9498 0.8996 0.6147
Se3 Se 0.7619 0.5238 0.2500
Se4 Se 0.9498 0.8996 0.8853
Se5 Se 0.6767 0.3534 0.9447
Se6 Se 0.2381 0.4762 0.7500
Se7 Se 0.0502 0.1004 0.1147
Se8 Se 0.6767 0.3534 0.5553
Se9 Se 0.3233 0.6466 0.4447
Se10 Se 0.3233 0.6466 0.0553
Np1 Np 0.1464 0.2928 0.9403
Np2 Np 0.8536 0.7072 0.0597
Np3 Np 0.8536 0.7072 0.4403
Np4 Np 0.1464 0.2928 0.5597
In1 In 0.7977 0.5953 0.7500
In2 In 0.2023 0.4047 0.2500
```

## Properties
DFT total energy: -6.58 eV/atom
Formation energy from raw total energies: -824.6 meV per atom
Magnetic moment: 12.83 μB/cell

Record 9
Entry from Alexandria via LeMat-Bulk: an optimized crystal structure of Np2InSe4 (PBE).

Cell and atoms, written as CIF:
```
data_Np2InSe4
_cell_length_a 4.1611
_cell_length_b 7.2382
_cell_length_c 14.0743
_cell_angle_alpha 90.00
_cell_angle_beta 90.00
_cell_angle_gamma 106.70
_space_group_name_H-M_alt 'P 1'
_space_group_IT_number 1
loop_
_space_group_symop_operation_xyz
'x,y,z'
loop_
_atom_site_label
_atom_site_type_symbol
_atom_site_fract_x
_atom_site_fract_y
_atom_site_fract_z
Np1 Np 0.8653 0.7306 0.9372
Np2 Np 0.1347 0.2694 0.0628
Np3 Np 0.8653 0.7306 0.5628
Np4 Np 0.1347 0.2694 0.4372
In1 In 0.4057 0.8114 0.2500
In2 In 0.5943 0.1886 0.7500
Se1 Se 0.7629 0.5258 0.1118
Se2 Se 0.5000 0.0000 0.0000
Se3 Se 0.9321 0.8641 0.7500
Se4 Se 0.2371 0.4742 0.8882
Se5 Se 0.7629 0.5258 0.3882
Se6 Se 0.2371 0.4742 0.6118
Se7 Se 0.5000 0.0000 0.5000
Se8 Se 0.0679 0.1359 0.2500
```

## Properties
DFT total energy: -6.99 eV/atom
Formation energy from raw total energies: -911.1 meV per atom
Magnetic moment: 14.00 μB/cell

Record 10
Entry from Alexandria via LeMat-Bulk: an optimized crystal structure of NpInSe4 (PBE).

Cell and atoms, written as CIF:
```
data_NpInSe4
_cell_length_a 6.9627
_cell_length_b 6.9627
_cell_length_c 8.2862
_cell_angle_alpha 90.00
_cell_angle_beta 90.00
_cell_angle_gamma 83.13
_space_group_name_H-M_alt 'P 1'
_space_group_IT_number 1
loop_
_space_group_symop_operation_xyz
'x,y,z'
loop_
_atom_site_label
_atom_site_type_symbol
_atom_site_fract_x
_atom_site_fract_y
_atom_site_fract_z
Se1 Se 0.2227 0.7987 0.7500
Se2 Se 0.3201 0.3201 0.0087
Se3 Se 0.7773 0.2013 0.2500
Se4 Se 0.6799 0.6799 0.9913
Se5 Se 0.3201 0.3201 0.4913
Se6 Se 0.6799 0.6799 0.5087
Se7 Se 0.7987 0.2227 0.7500
Se8 Se 0.2013 0.7773 0.2500
Np1 Np 0.4851 0.4851 0.7500
Np2 Np 0.5149 0.5149 0.2500
In1 In 0.1500 0.1500 0.2500
In2 In 0.8500 0.8500 0.7500
```

## Properties
DFT total energy: -5.45 eV/atom
Formation energy from raw total energies: -517.0 meV per atom
Magnetic moment: 3.97 μB/cell